[1]
# KZn4As3O12, optimized geometry, DFT PBE-GGA
# **VASP energy**: -5.26 eV/atom
# **Crystal system**: trigonal
# **Theoretical density**: 5.0 Mg/m³
data_KZn4As3O12
_chemical_formula_sum 'K3 Zn12 As9 O36'
_cell_length_a 11.0042
_cell_length_b 11.0042
_cell_length_c 6.8564
_cell_angle_alpha 90.00
_cell_angle_beta 90.00
_cell_angle_gamma 120.00
_space_group_name_H-M_alt 'R 3 2'
_space_group_IT_number 155
_space_group_name_Hall 'R 3 2"'
loop_
_atom_site_label
_atom_site_type_symbol
_atom_site_fract_x
_atom_site_fract_y
_atom_site_fract_z
K1 K 0.0000 0.0000 0.0000
Zn1 Zn 0.0000 0.0000 0.5000
Zn2 Zn 0.0000 0.4349 0.5000
As1 As 0.0000 0.5634 0.0000
O1 O 0.0000 0.6098 0.5000
O2 O 0.0000 0.8263 0.5000
O3 O 0.0790 0.2413 0.1812

=====

[2]
# KZnAsO4, optimized geometry, DFT PBE-GGA
# **DOS at the Fermi energy**: 0.000 states/eV/atom
# **VASP energy**: -5.37 eV/atom
# **Crystal system**: tetragonal
# **Theoretical density**: 3.2 Mg/m³
data_KZnAsO4
_chemical_formula_sum 'K2 Zn2 As2 O8'
_cell_length_a 5.658
_cell_length_b 5.658
_cell_length_c 7.830
_cell_angle_alpha 90.00
_cell_angle_beta 90.00
_cell_angle_gamma 90.00
_space_group_name_H-M_alt 'I -4'
_space_group_IT_number 82
_space_group_name_Hall 'I -4'
loop_
_atom_site_label
_atom_site_type_symbol
_atom_site_fract_x
_atom_site_fract_y
_atom_site_fract_z
K1 K 0.000 0.000 0.000
Zn1 Zn 0.000 0.000 0.500
As1 As 0.000 0.500 0.250
O1 O 0.121 0.726 0.369